No. 1
First-principles (PBE-GGA) data for K2MnTl after structural relaxation, as listed in Alexandria via LeMat-Bulk.

The structure belongs to space group Imm2 (No. 44); the cell edges are 4.7628, 6.1821 and 10.4942 Å and the angles 90.00°, 90.00° and 90.00°. The asymmetric unit holds K at (0.0000, 0.0000, 0.0000), K at (0.0000, 0.5000, 0.1929), Mn at (0.0000, 0.0000, 0.4023) and Tl at (0.0000, 0.5000, 0.7793).

Its crystal system is orthorhombic. The total energy comes out at -0.2235 Ry per atom. For the calculated volume, the calculation gives 309 Å³ per cell. Its energy above the most stable polymorph in this dataset is 0.051 eV per atom. The calculation puts the formation enthalpy at 0 K at 0.3920 eV/atom. The density of states at the Fermi level comes out at 3.2 states/eV per cell.

=====

No. 2
First-principles (PBE-GGA) data for NaSiSn2 after structural relaxation, as listed in Alexandria via LeMat-Bulk.

The structure belongs to space group R-3m (No. 166, hexagonal axes); the cell edges are 3.8346, 3.8346 and 28.2735 Å and the angles 90.00°, 90.00° and 120.00°. The asymmetric unit holds Na at (0.0000, 0.0000, 0.0000), Si at (0.0000, 0.0000, 0.5000) and Sn at (0.0000, 0.0000, 0.1086).

The calculation puts the energy relative to the elements, uncorrected at 0.81 eV per formula unit. Its crystal system is trigonal. The total energy comes out at -0.2560 Ry per atom. For the calculated volume, the calculation gives 360 Å³ per cell. The density of states at the Fermi level comes out at 7.7 states/eV per cell.

=====

No. 3
First-principles (PBE-GGA) data for Pm6InCu5 after structural relaxation, as listed in Alexandria via LeMat-Bulk.

The structure belongs to space group P2/m (No. 10); the cell edges are 5.0819, 7.3232 and 8.0548 Å and the angles 90.00°, 108.24° and 90.00°. The asymmetric unit holds Pm at (0.0000, 0.2330, 0.0000), Pm at (0.3271, 0.2459, 0.6544), In at (0.5000, 0.5000, 0.0000), Cu at (0.1533, 0.5000, 0.3105), Cu at (0.1658, 0.0000, 0.3318) and Cu at (0.5000, 0.0000, 0.0000).

Its crystal system is monoclinic. The total energy comes out at -0.3312 Ry per atom. For the calculated volume, the calculation gives 285 Å³ per cell. The calculation puts the formation enthalpy at 0 K at -0.1961 eV/atom. The density of states at the Fermi level comes out at 9.1 states/eV per cell.

=====

No. 4
First-principles (PBE-GGA) data for Cr2TeW after structural relaxation, as listed in Alexandria via LeMat-Bulk.

The structure belongs to space group Pmm2 (No. 25); the cell edges are 3.0605, 3.9538 and 5.2632 Å and the angles 90.00°, 90.00° and 90.00°. The asymmetric unit holds Cr at (0.0000, 0.0000, 0.0000), Cr at (0.5000, 0.5000, 0.2463), Te at (0.0000, 0.0000, 0.4952) and W at (0.5000, 0.5000, 0.7999).

The calculation puts the energy relative to the elements, uncorrected at 2.43 eV per formula unit. Its crystal system is orthorhombic. The total energy comes out at -0.6047 Ry per atom. For the calculated volume, the calculation gives 64 Å³ per cell. The density of states at the Fermi level comes out at 4.0 states/eV per cell.

=====

No. 5
First-principles (PBE-GGA) data for Ac2Sn2Te7 after structural relaxation, as listed in Alexandria via LeMat-Bulk.

The structure belongs to space group Cmmm (No. 65); the cell edges are 11.1147, 12.1438 and 6.2910 Å and the angles 90.00°, 90.00° and 90.00°. The asymmetric unit holds Ac at (0.2343, 0.0000, 0.0000), Sn at (0.0000, 0.2610, 0.5000), Te at (0.0000, 0.0000, 0.5000), Te at (0.0000, 0.5000, 0.2485) and Te at (0.2500, 0.2500, 0.2477).

The calculation puts the energy relative to the elements, uncorrected at -7.28 eV per formula unit. Its crystal system is orthorhombic. The total energy comes out at -0.3040 Ry per atom. For the calculated volume, the calculation gives 849 Å³ per cell. The density of states at the Fermi level comes out at 5.6 states/eV per cell.

=====

No. 6
First-principles (PBE-GGA) data for HfCr2HgCl after structural relaxation, as listed in Alexandria via LeMat-Bulk.

The structure belongs to space group P4/mmm (No. 123); the cell edges are 5.1808, 5.1808 and 4.8341 Å and the angles 90.00°, 90.00° and 90.00°. The asymmetric unit holds Hf at (0.0000, 0.0000, 0.0000), Cr at (0.0000, 0.5000, 0.0000), Hg at (0.5000, 0.5000, 0.5000) and Cl at (0.0000, 0.0000, 0.5000).

The calculation puts the energy relative to the elements, uncorrected at 4.50 eV per formula unit. Its crystal system is tetragonal. The total energy comes out at -0.3947 Ry per atom. For the calculated volume, the calculation gives 130 Å³ per cell. The density of states at the Fermi level comes out at 3.6 states/eV per cell.

=====

No. 7
First-principles (PBE-GGA) data for PmZnAgSb after structural relaxation, as listed in Alexandria via LeMat-Bulk.

The structure belongs to space group F-43m (No. 216); the cell edges are 7.1717, 7.1717 and 7.1717 Å and the angles 90.00°, 90.00° and 90.00°. The asymmetric unit holds Pm at (0.0000, 0.0000, 0.0000), Zn at (0.2500, 0.2500, 0.7500), Ag at (0.2500, 0.2500, 0.2500) and Sb at (0.0000, 0.0000, 0.5000).

The calculation puts the energy relative to the elements, uncorrected at -1.08 eV per formula unit. Its crystal system is cubic. The total energy comes out at -0.2587 Ry per atom. For the calculated volume, the calculation gives 369 Å³ per cell. The density of states at the Fermi level comes out at 5.2 states/eV per cell.

=====

No. 8
First-principles (PBE-GGA) data for Tb2ErGe after structural relaxation, as listed in Alexandria via LeMat-Bulk.

The structure belongs to space group R-3m (No. 166, hexagonal axes); the cell edges are 3.4717, 3.4717 and 34.4446 Å and the angles 90.00°, 90.00° and 120.00°. The asymmetric unit holds Tb at (0.0000, 0.0000, 0.0842), Er at (0.0000, 0.0000, 0.5000) and Ge at (0.0000, 0.0000, 0.0000).

Its crystal system is trigonal. The total energy comes out at -0.3285 Ry per atom. For the calculated volume, the calculation gives 360 Å³ per cell. The calculation puts the formation enthalpy at 0 K at 0.1410 eV/atom. The density of states at the Fermi level comes out at 10.6 states/eV per cell.

=====

No. 9
First-principles (PBE-GGA) data for K2TlHgBr5 after structural relaxation, as listed in Alexandria via LeMat-Bulk.

The structure belongs to space group Cmc2_1 (No. 36); the cell edges are 4.5366, 18.1381 and 17.0830 Å and the angles 90.00°, 90.00° and 90.00°. The asymmetric unit holds K at (0.0000, 0.0613, 0.0000), K at (0.0000, 0.1582, 0.6012), Tl at (0.0000, 0.4396, 0.7722), Hg at (0.0000, 0.2535, 0.3775), Br at (0.0000, 0.1064, 0.4002), Br at (0.0000, 0.2398, 0.0039), Br at (0.0000, 0.2625, 0.7626), Br at (0.0000, 0.3986, 0.3643) and Br at (0.0000, 0.4766, 0.1044).

The calculation puts the energy relative to the elements, uncorrected at -9.71 eV per formula unit. Its crystal system is orthorhombic. The total energy comes out at -0.1873 Ry per atom. For the calculated volume, the calculation gives 1406 Å³ per cell. The density of states at the Fermi level comes out at 0.0 states/eV per cell.

=====

No. 10
First-principles (PBE-GGA) data for Na3Y3GaTe8 after structural relaxation, as listed in Alexandria via LeMat-Bulk.

The structure belongs to space group C2/m (No. 12); the cell edges are 14.9546, 8.6255 and 9.2331 Å and the angles 90.00°, 122.74° and 90.00°. The asymmetric unit holds Na at (0.0000, 0.0000, 0.0000), Na at (0.2500, 0.2500, 0.0000), Y at (0.0000, 0.5000, 0.5000), Y at (0.2500, 0.2500, 0.5000), Ga at (0.0000, 0.0000, 0.5000), Te at (0.0055, 0.2388, 0.2779), Te at (0.2317, 0.0000, 0.7209) and Te at (0.2446, 0.5000, 0.7335).

The calculation puts the energy relative to the elements, uncorrected at -15.18 eV per formula unit. Its crystal system is monoclinic. The total energy comes out at -0.3268 Ry per atom. For the calculated volume, the calculation gives 1002 Å³ per cell. The density of states at the Fermi level comes out at 16.9 states/eV per cell.

=====

No. 11
First-principles (PBE-GGA) data for Ce6P2C after structural relaxation, as listed in Alexandria via LeMat-Bulk.

The structure belongs to space group P2_1/c (No. 14); the cell edges are 5.8518, 7.5489 and 10.6733 Å and the angles 90.00°, 119.69° and 90.00°. The asymmetric unit holds Ce at (0.0911, 0.1547, 0.4625), Ce at (0.3023, 0.6972, 0.4594), Ce at (0.3484, 0.0153, 0.2394), P at (0.1788, 0.1191, 0.7661) and C at (0.5000, 0.0000, 0.5000).

Its crystal system is monoclinic. The total energy comes out at -0.5033 Ry per atom. For the calculated volume, the calculation gives 410 Å³ per cell. Its energy above the most stable polymorph in this dataset is 0.000 eV per atom. The calculation puts the formation enthalpy at 0 K at -0.6654 eV/atom. The density of states at the Fermi level comes out at 46.0 states/eV per cell.

=====

No. 12
First-principles (PBE-GGA) data for MgTc2Mo after structural relaxation, as listed in Alexandria via LeMat-Bulk.

The structure belongs to space group Cmmm (No. 65); the cell edges are 3.1131, 4.4686 and 9.0234 Å and the angles 90.00°, 90.00° and 90.00°. The asymmetric unit holds Mg at (0.0000, 0.0000, 0.0000), Tc at (0.0000, 0.5000, 0.2599) and Mo at (0.0000, 0.0000, 0.5000).

Its crystal system is orthorhombic. The total energy comes out at -0.5985 Ry per atom. For the calculated volume, the calculation gives 126 Å³ per cell. The calculation puts the formation enthalpy at 0 K at 0.1471 eV/atom. The density of states at the Fermi level comes out at 6.4 states/eV per cell.

=====

Q: Number 6 is which compound?
A: HfCr2HgCl

=====

Q: Look up the calculated volume of the seventh one.
A: 369 Å³ per cell

=====

Repeat the tenth record exactly.
First-principles (PBE-GGA) data for Na3Y3GaTe8 after structural relaxation, as listed in Alexandria via LeMat-Bulk.

The structure belongs to space group C2/m (No. 12); the cell edges are 14.9546, 8.6255 and 9.2331 Å and the angles 90.00°, 122.74° and 90.00°. The asymmetric unit holds Na at (0.0000, 0.0000, 0.0000), Na at (0.2500, 0.2500, 0.0000), Y at (0.0000, 0.5000, 0.5000), Y at (0.2500, 0.2500, 0.5000), Ga at (0.0000, 0.0000, 0.5000), Te at (0.0055, 0.2388, 0.2779), Te at (0.2317, 0.0000, 0.7209) and Te at (0.2446, 0.5000, 0.7335).

The calculation puts the energy relative to the elements, uncorrected at -15.18 eV per formula unit. Its crystal system is monoclinic. The total energy comes out at -0.3268 Ry per atom. For the calculated volume, the calculation gives 1002 Å³ per cell. The density of states at the Fermi level comes out at 16.9 states/eV per cell.